Entry 1:
Cs2TbI6 | GGA-PBE | relaxed

## Properties
Formation energy (no corrections) in eV/atom: -1.180
D(E_F) in states/eV/f.u.: 13.33
Size of the total moment in μB per formula unit: 0.71

Structure (POSCAR):
```
Cs2TbI6
1.0
4.864 0.000 0.000
0.000 9.806 0.000
0.000 -4.903 8.506
Cs Tb I
2 1 6
Cartesian
0.000 -0.004 5.668
0.000 4.899 2.838
2.432 0.004 0.000
2.432 6.443 0.000
2.432 1.681 2.922
2.432 6.584 5.584
0.000 2.196 0.000
0.000 3.808 6.607
0.000 8.711 1.899
```

=====

Entry 2:
CsTbI6 | GGA-PBE | relaxed

## Properties
Formation energy (no corrections) in eV/atom: -0.931
D(E_F) in states/eV/f.u.: 11.27
Size of the total moment in μB per formula unit: 0.00

Structure (POSCAR):
```
CsTbI6
1.0
7.356 0.080 0.090
-0.724 7.320 0.090
-0.724 -0.808 7.276
Cs Tb I
1 1 6
Cartesian
0.000 0.000 0.000
2.954 3.296 3.728
0.974 4.197 1.614
0.974 1.087 4.363
4.933 2.395 5.842
1.841 5.165 5.842
4.933 5.505 3.093
4.066 1.427 1.614
```

=====

Entry 3:
CsTb4I12 | GGA-PBE | relaxed

## Properties
Formation energy (no corrections) in eV/atom: -1.326
D(E_F) in states/eV/f.u.: 6.56
Size of the total moment in μB per formula unit: 0.00

Structure (POSCAR):
```
CsTb4I12
1.0
10.051 0.000 0.000
-3.350 9.476 0.000
-3.350 -4.738 8.206
Cs Tb I
1 4 12
Cartesian
0.000 0.000 0.000
-1.675 4.738 0.000
5.025 0.000 0.000
1.675 2.369 4.103
-1.675 -2.369 4.103
6.784 2.310 0.964
0.787 3.743 1.518
5.913 -1.552 5.724
-0.084 -2.748 6.688
-2.563 6.290 2.482
2.563 0.995 6.688
3.266 0.320 2.482
0.084 4.418 5.724
3.434 7.486 1.518
4.138 4.181 4.206
-0.787 0.557 4.001
-3.434 2.428 7.242
```

=====

Entry 4:
Cs2TbI6 | GGA-PBE | relaxed

## Properties
Formation energy (no corrections) in eV/atom: -1.267
D(E_F) in states/eV/f.u.: 16.52
Size of the total moment in μB per formula unit: 0.00

Structure (POSCAR):
```
Cs2TbI6
1.0
-5.898 4.882 -3.567
3.865 -5.968 -4.559
-10.017 -9.356 3.756
Cs Tb I
4 2 12
Cartesian
-6.288 -5.873 2.358
-1.280 -1.195 0.480
-8.165 -10.548 -0.937
-6.411 -2.253 -2.485
-1.907 -4.704 -3.284
-10.170 -5.765 -1.075
-4.202 1.266 -1.320
-7.274 -6.398 -1.715
-4.334 -8.832 0.063
-5.215 0.725 -5.370
-2.276 -1.709 -3.592
-5.348 -9.373 -3.987
-11.076 -8.106 -2.782
-1.461 -7.692 -2.996
-4.479 -5.194 -4.821
-10.036 -7.550 1.376
-13.054 -5.052 -0.449
-3.439 -4.638 -0.663
```